[1]
DFT (PBE) results for a geometry-optimized Al2GaPb structure.

a b c (Å): 4.986 4.986 4.986
angles (deg): 60.00 60.00 60.00
Positions (direct):
1 Al 0.250 0.250 0.250
2 Al 0.750 0.750 0.750
3 Ga 0.000 0.000 0.000
4 Pb 0.500 0.500 0.500

Results
- Space-group type: Fm-3m (225)
- Excess energy over the best structure of this formula in the dataset: 0.0825 eV/atom
- Energy of formation: 1.00 eV/f.u.
- Fermi-level density of states: 0.499 states/eV/atom


[2]
DFT (PBE) results for a geometry-optimized SiPC structure.

a b c (Å): 3.171 3.171 4.580
angles (deg): 111.20 111.20 58.89
Positions (direct):
1 Si 0.000 0.000 0.000
2 P 0.545 0.545 0.614
3 C 0.398 0.398 0.193

Results
- Space-group type: Cm (8)
- Excess energy over the best structure of this formula in the dataset: 0.1446 eV/atom
- Energy relative to the elements, uncorrected: 354 meV/atom
- Fermi-level density of states: 0.179 states/eV/atom


[3]
DFT (PBE) results for a geometry-optimized Mg2ZrPt structure.

a b c (Å): 3.043 3.043 8.297
angles (deg): 90.00 90.00 90.00
Positions (direct):
1 Mg 0.000 0.000 0.204
2 Mg 0.000 0.000 0.796
3 Zr 0.500 0.500 0.500
4 Pt 0.500 0.500 0.000

Results
- Space-group type: P4/mmm (123)
- Energy of formation: -1.55 eV/f.u.
- Fermi-level density of states: 1.060 states/eV/atom


[4]
DFT (PBE) results for a geometry-optimized GaRe2MoPb structure.

a b c (Å): 4.762 4.762 5.346
angles (deg): 90.00 90.00 90.00
Positions (direct):
1 Ga 0.000 0.000 0.000
2 Re 0.000 0.500 0.500
3 Re 0.500 0.000 0.500
4 Mo 0.500 0.500 0.500
5 Pb 0.500 0.500 0.000

Results
- Space-group type: P4/mmm (123)
- Energy of formation: 9.15 eV/f.u.
- Fermi-level density of states: 1.289 states/eV/atom


[5]
DFT (PBE) results for a geometry-optimized Pr6Ni2AuI3 structure.

a b c (Å): 7.385 7.385 8.454
angles (deg): 98.41 98.41 119.87
Positions (direct):
1 Pr 0.083 0.438 0.813
2 Pr 0.207 0.207 0.186
3 Pr 0.438 0.083 0.813
4 Pr 0.562 0.917 0.187
5 Pr 0.793 0.793 0.814
6 Pr 0.917 0.562 0.187
7 Ni 0.167 0.833 0.000
8 Ni 0.833 0.167 0.000
9 Au 0.500 0.500 0.000
10 I 0.000 0.000 0.500
11 I 0.336 0.664 0.500
12 I 0.664 0.336 0.500

Results
- Space-group type: C2/m (12)
- Energy relative to the elements, uncorrected: -717 meV/atom
- Fermi-level density of states: 0.780 states/eV/atom


[6]
DFT (PBE) results for a geometry-optimized Zn2TcPC structure.

a b c (Å): 4.938 4.938 4.412
angles (deg): 90.00 90.00 90.00
Positions (direct):
1 Zn 0.000 0.500 0.000
2 Zn 0.500 0.000 0.000
3 Tc 0.000 0.000 0.000
4 P 0.000 0.000 0.500
5 C 0.500 0.500 0.500

Results
- Space-group type: P4/mmm (123)
- Energy of formation: 8.27 eV/f.u.
- Fermi-level density of states: 0.554 states/eV/atom


[7]
DFT (PBE) results for a geometry-optimized Na3Ag5As2 structure.

a b c (Å): 9.156 9.156 9.156
angles (deg): 97.67 94.63 141.80
Positions (direct):
1 Na 0.243 0.128 0.371
2 Na 0.250 0.250 0.000
3 Na 0.257 0.628 0.886
4 Na 0.743 0.372 0.114
5 Na 0.750 0.750 0.000
6 Na 0.757 0.872 0.629
7 Ag 0.156 0.379 0.536
8 Ag 0.250 0.506 0.256
9 Ag 0.250 0.750 0.500
10 Ag 0.250 0.994 0.744
11 Ag 0.344 0.879 0.223
12 Ag 0.656 0.121 0.777
13 Ag 0.750 0.006 0.256
14 Ag 0.750 0.250 0.500
15 Ag 0.750 0.494 0.744
16 Ag 0.844 0.621 0.464
17 As 0.140 0.853 0.993
18 As 0.360 0.353 0.712
19 As 0.640 0.647 0.288
20 As 0.860 0.147 0.007

Results
- Space-group type: Ibam (72)
- Energy of formation: -0.85 eV/f.u.
- Fermi-level density of states: 0.244 states/eV/atom


[8]
DFT (PBE) results for a geometry-optimized GdTmTh structure.

a b c (Å): 7.870 7.870 7.870
angles (deg): 153.77 153.77 37.43
Positions (direct):
1 Gd 0.000 0.000 0.000
2 Tm 0.678 0.678 0.000
3 Th 0.337 0.337 0.000

Results
- Space-group type: I4mm (107)
- Excess energy over the best structure of this formula in the dataset: 0.0022 eV/atom
- Energy of formation: 0.07 eV/f.u.
- Fermi-level density of states: 1.392 states/eV/atom


[9]
DFT (PBE) results for a geometry-optimized TlZnOs2 structure.

a b c (Å): 2.804 2.804 9.806
angles (deg): 90.00 90.00 118.50
Positions (direct):
1 Tl 0.000 0.000 0.000
2 Zn 0.000 0.000 0.500
3 Os 0.500 0.500 0.279
4 Os 0.500 0.500 0.721

Results
- Space-group type: Cmmm (65)
- Excess energy over the best structure of this formula in the dataset: 0.5055 eV/atom
- Energy of formation: 3.44 eV/f.u.
- Fermi-level density of states: 0.894 states/eV/atom


[10]
DFT (PBE) results for a geometry-optimized In8HgBi5 structure.

a b c (Å): 8.204 8.204 8.204
angles (deg): 109.45 109.45 109.51
Positions (direct):
1 In 0.118 0.705 0.768
2 In 0.146 0.243 0.763
3 In 0.295 0.063 0.413
4 In 0.480 0.384 0.237
5 In 0.616 0.854 0.096
6 In 0.650 0.882 0.587
7 In 0.757 0.520 0.904
8 In 0.937 0.350 0.232
9 Hg 0.000 0.000 0.000
10 Bi 0.238 0.631 0.143
11 Bi 0.369 0.512 0.608
12 Bi 0.488 0.095 0.857
13 Bi 0.750 0.250 0.500
14 Bi 0.905 0.762 0.392

Results
- Space-group type: I-4 (82)
- Energy of formation: 0.55 eV/f.u.
- Fermi-level density of states: 0.434 states/eV/atom


[11]
DFT (PBE) results for a geometry-optimized ZnMo5 structure.

a b c (Å): 2.645 2.645 13.596
angles (deg): 90.00 90.00 90.00
Positions (direct):
1 Zn 0.000 0.000 0.000
2 Mo 0.000 0.000 0.330
3 Mo 0.000 0.000 0.670
4 Mo 0.500 0.500 0.157
5 Mo 0.500 0.500 0.500
6 Mo 0.500 0.500 0.843

Results
- Space-group type: P4/mmm (123)
- Excess energy over the best structure of this formula in the dataset: 0.1457 eV/atom
- Energy of formation: 1.56 eV/f.u.
- Fermi-level density of states: 0.599 states/eV/atom


[12]
DFT (PBE) results for a geometry-optimized Pr3Ga8Cu3 structure.

a b c (Å): 8.269 8.269 8.269
angles (deg): 149.37 109.68 78.63
Positions (direct):
1 Pr 0.000 0.000 0.000
2 Pr 0.304 0.304 0.000
3 Pr 0.696 0.696 0.000
4 Ga 0.018 0.656 0.362
5 Ga 0.157 0.870 0.287
6 Ga 0.294 0.656 0.638
7 Ga 0.418 0.130 0.287
8 Ga 0.582 0.870 0.713
9 Ga 0.706 0.344 0.362
10 Ga 0.843 0.130 0.713
11 Ga 0.982 0.344 0.638
12 Cu 0.305 0.500 0.805
13 Cu 0.500 0.000 0.500
14 Cu 0.695 0.500 0.195

Results
- Space-group type: Immm (71)
- Excess energy over the best structure of this formula in the dataset: 0.0000 eV/atom
- Energy of formation: -6.62 eV/f.u.
- Fermi-level density of states: 0.246 states/eV/atom